CaCdAs2Se | PBE | optimized geometry

Lattice parameters (Å, degrees): 5.437 5.437 5.327 90.00 90.00 90.00
Site moments in Bohr magnetons follow the coordinates.
Fractional positions:
Se: 0.000 0.000 0.500  0.06
Cd: 0.500 0.500 0.500  -0.01
Ca: 0.000 0.000 0.000  0.00
As: 0.500 0.000 0.000  0.10
As: 0.000 0.500 0.000  0.10

ΔE_f (raw): 0.466 eV per atom
energy: -0.0983 Ha/atom
magnetization: 0.54 μB per formula unit
energy above the lowest structure with this stoichiometry: 0.3658 eV per atom